Entry 1:
First-principles (PBE) data for crystalline SmTa4S8 at its relaxed geometry, as listed in Alexandria.

Cell: 6.8196 6.8196 7.8277 Å, 90.00 115.83 120.00°
Fractional coordinates of all 13 atoms:
1 S 0.5167 0.2584 0.7750
2 S 0.0092 0.2473 0.7710
3 Sm 0.0000 0.5000 0.5000
4 Ta 0.5000 0.0000 0.0000
5 S 0.4833 0.7416 0.2250
6 Ta 0.0000 0.0000 0.0000
7 Ta 0.5000 0.5000 0.0000
8 S 0.0092 0.7618 0.7710
9 S 0.9908 0.2382 0.2290
10 S 0.9908 0.7527 0.2290
11 S 0.5236 0.7618 0.7710
12 S 0.4764 0.2382 0.2290
13 Ta 0.0000 0.5000 0.0000

Output
* crystal system: trigonal

=====

Entry 2:
First-principles (PBE) data for crystalline GdHoZnFe at its relaxed geometry, as listed in Alexandria.

Cell: 4.9170 4.9170 4.9170 Å, 60.00 60.00 60.00°
Fractional coordinates of all 4 atoms:
1 Fe 0.2500 0.2500 0.2500
2 Zn 0.7500 0.7500 0.7500
3 Ho 0.0000 0.0000 0.0000
4 Gd 0.5000 0.5000 0.5000

Output
* crystal system: cubic

=====

Entry 3:
First-principles (PBE) data for crystalline BaPa4Se8 at its relaxed geometry, as listed in Alexandria.

Cell: 8.6613 8.6613 8.6613 Å, 60.00 60.00 60.00°
Fractional coordinates of all 13 atoms:
1 Pa 0.3701 0.3701 0.3701
2 Pa 0.3701 0.8897 0.3701
3 Pa 0.3701 0.3701 0.8897
4 Se 0.6061 0.6061 0.1816
5 Se 0.1355 0.5934 0.1355
6 Se 0.6061 0.1816 0.6061
7 Pa 0.8897 0.3701 0.3701
8 Se 0.1816 0.6061 0.6061
9 Se 0.1355 0.1355 0.5934
10 Se 0.6061 0.6061 0.6061
11 Se 0.5934 0.1355 0.1355
12 Se 0.1355 0.1355 0.1355
13 Ba 0.7500 0.7500 0.7500

Output
* crystal system: cubic
* energy relative to the lowest polymorph listed for this composition: 39 meV per atom

=====

Entry 4:
First-principles (PBE) data for crystalline Tm2AlCo5B2 at its relaxed geometry, as listed in Alexandria.

Cell: 3.0031 8.9789 8.9789 Å, 90.00 90.00 90.00°
Fractional coordinates of all 20 atoms:
1 Co 0.5000 0.7268 0.4319
2 B 0.0000 0.3813 0.1187
3 Tm 0.0000 0.8224 0.6776
4 Co 0.5000 0.9319 0.2268
5 Co 0.5000 0.0000 0.5000
6 Co 0.5000 0.2268 0.0681
7 B 0.0000 0.6187 0.8813
8 Co 0.5000 0.4319 0.2732
9 Co 0.5000 0.5000 0.0000
10 Co 0.5000 0.5681 0.7268
11 Al 0.0000 0.0000 0.0000
12 Tm 0.0000 0.1776 0.3224
13 Co 0.5000 0.2732 0.5681
14 Tm 0.0000 0.6776 0.1776
15 Co 0.5000 0.7732 0.9319
16 B 0.0000 0.8813 0.3813
17 Al 0.0000 0.5000 0.5000
18 B 0.0000 0.1187 0.6187
19 Tm 0.0000 0.3224 0.8224
20 Co 0.5000 0.0681 0.7732

Output
* crystal system: tetragonal

=====

Entry 5:
First-principles (PBE) data for crystalline KNa2ClO at its relaxed geometry, as listed in Alexandria.

Cell: 4.5420 4.5420 5.3527 Å, 90.00 90.00 90.00°
Fractional coordinates of all 5 atoms:
1 Cl 0.5000 0.5000 0.5000
2 Na 0.5000 0.0000 0.0000
3 K 0.0000 0.0000 0.5000
4 Na 0.0000 0.5000 0.0000
5 O 0.0000 0.0000 0.0000

Output
* crystal system: tetragonal
* energy relative to the lowest polymorph listed for this composition: 0 meV per atom

=====

Entry 6:
First-principles (PBE) data for crystalline LiPm2Sm2Au4 at its relaxed geometry, as listed in Alexandria.

Cell: 6.6023 6.6023 6.6023 Å, 99.47 114.69 114.69°
Fractional coordinates of all 9 atoms:
1 Au 0.0000 0.7541 0.2459
2 Pm 0.5000 0.7500 0.2500
3 Sm 0.0000 0.6894 0.6894
4 Au 0.5082 0.7541 0.7541
5 Sm 0.0000 0.3106 0.3106
6 Pm 0.5000 0.2500 0.7500
7 Au 0.4918 0.2459 0.2459
8 Au 0.0000 0.2459 0.7541
9 Li 0.0000 0.0000 0.0000

Output
* crystal system: tetragonal

=====

Number 1: VASP energy -7.71 eV per atom. Number 2: VASP energy -7.18 eV per atom. Number 3: VASP energy -6.55 eV per atom. Number 4: VASP energy -6.64 eV per atom. Number 5: VASP energy -3.53 eV per atom. Number 6: VASP energy -4.30 eV per atom.